Compound: La4HgBr5
Source: the Alexandria database
Functional: PBE-GGA
Structure: optimized geometry

Geometry as extended XYZ:
```
10
Lattice="9.4740 -2.1150 0.0000 9.4740 2.1150 0.0000 -2.0298 0.0000 8.9424" Properties=species:S:1:pos:R:3 pbc="T T T"
La -0.3814 0.0000 2.2010
La 4.4008 0.0000 8.3035
La 12.5174 0.0000 0.6389
La 17.2996 0.0000 6.7414
Hg 9.4740 0.0000 0.0000
Br 1.4415 0.0000 7.3269
Br 2.6076 0.0000 2.8462
Br 8.4591 0.0000 4.4712
Br 14.3106 0.0000 6.0962
Br 15.4767 0.0000 1.6155
```

Space-group type: C2/m, No. 12
Density: 5.4 g/cm3
Formation energy (no corrections): -1.422 eV/atom

---

Compound: La3HgBr3
Source: the Alexandria database
Functional: PBE-GGA
Structure: optimized geometry

Geometry as extended XYZ:
```
7
Lattice="6.2287 0.0000 0.0000 0.0000 6.2287 0.0000 0.0000 0.0000 6.2287" Properties=species:S:1:pos:R:3 pbc="T T T"
La 0.0000 0.0000 3.1143
La 0.0000 3.1143 0.0000
La 3.1143 0.0000 0.0000
Hg 0.0000 0.0000 0.0000
Br 0.0000 3.1143 3.1143
Br 3.1143 0.0000 3.1143
Br 3.1143 3.1143 0.0000
```

Space-group type: Pm-3m, No. 221
Density: 5.9 g/cm3
Formation energy (no corrections): -1.314 eV/atom

---

Compound: LaHg2Br2
Source: the Alexandria database
Functional: PBE-GGA
Structure: optimized geometry

Geometry as extended XYZ:
```
10
Lattice="7.7573 0.0000 0.0000 0.0000 7.7573 0.0000 0.0000 0.0000 5.7144" Properties=species:S:1:pos:R:3 pbc="T T T"
La 0.0000 0.0000 0.0000
La 3.8787 3.8787 0.0000
Hg 1.3870 2.4917 2.8572
Hg 2.4917 6.3704 2.8572
Hg 5.2656 1.3870 2.8572
Hg 6.3704 5.2656 2.8572
Br 1.2031 5.0818 0.0000
Br 2.6755 1.2031 0.0000
Br 5.0818 6.5542 0.0000
Br 6.5542 2.6755 0.0000
```

Space-group type: P4/mbm, No. 127
Density: 6.8 g/cm3
Formation energy (no corrections): -0.848 eV/atom

---

Compound: LiLaHgBr2
Source: the Alexandria database
Functional: PBE-GGA
Structure: optimized geometry

Geometry as extended XYZ:
```
5
Lattice="5.8031 0.0000 0.0000 0.0000 5.8031 0.0000 0.0000 0.0000 6.8916" Properties=species:S:1:pos:R:3 pbc="T T T"
Li 0.0000 0.0000 0.0000
La 0.0000 0.0000 3.4458
Hg 2.9016 2.9016 0.0000
Br 0.0000 2.9016 3.4458
Br 2.9016 0.0000 3.4458
```

Space-group type: P4/mmm, No. 123
Density: 3.6 g/cm3
Formation energy (no corrections): -0.730 eV/atom

---

Compound: LaMg2HgBr
Source: the Alexandria database
Functional: PBE-GGA
Structure: optimized geometry

Geometry as extended XYZ:
```
5
Lattice="5.0858 0.0000 0.0000 0.0000 5.0858 0.0000 0.0000 0.0000 6.3260" Properties=species:S:1:pos:R:3 pbc="T T T"
La 0.0000 0.0000 0.0000
Mg 0.0000 2.5429 3.1630
Mg 2.5429 0.0000 3.1630
Hg 2.5429 2.5429 3.1630
Br 2.5429 2.5429 0.0000
```

Space-group type: P4/mmm, No. 123
Density: 4.7 g/cm3
Formation energy (no corrections): -0.025 eV/atom

---

Compound: LaNdHgBr
Source: the Alexandria database
Functional: PBE-GGA
Structure: optimized geometry

Geometry as extended XYZ:
```
16
Lattice="7.7100 0.0000 0.0000 0.0000 7.7100 0.0000 0.0000 0.0000 7.7100" Properties=species:S:1:pos:R:3 pbc="T T T"
La 0.0000 0.0000 0.0000
La 0.0000 3.8550 3.8550
La 3.8550 0.0000 3.8550
La 3.8550 3.8550 0.0000
Nd 0.0000 0.0000 3.8550
Nd 0.0000 3.8550 0.0000
Nd 3.8550 0.0000 0.0000
Nd 3.8550 3.8550 3.8550
Hg 1.9275 1.9275 1.9275
Hg 1.9275 5.7825 5.7825
Hg 5.7825 1.9275 5.7825
Hg 5.7825 5.7825 1.9275
Br 1.9275 1.9275 5.7825
Br 1.9275 5.7825 1.9275
Br 5.7825 1.9275 1.9275
Br 5.7825 5.7825 5.7825
```

Space-group type: F-43m, No. 216
Density: 8.2 g/cm3
Formation energy (no corrections): -0.667 eV/atom

---

Compound: La4HgOsBr2
Source: the Alexandria database
Functional: PBE-GGA
Structure: optimized geometry

Geometry as extended XYZ:
```
8
Lattice="7.7570 0.0000 0.0000 0.0000 4.2306 0.0000 -2.5459 0.0000 7.9101" Properties=species:S:1:pos:R:3 pbc="T T T"
La 0.9335 0.0000 2.3001
La -0.0687 2.1153 5.5449
La 5.2798 2.1153 2.3652
La 4.2776 0.0000 5.6100
Hg 2.6056 2.1153 3.9550
Os -1.2729 0.0000 3.9550
Br 0.0000 2.1153 0.0000
Br 3.8785 0.0000 0.0000
```

Space-group type: P2/m, No. 10
Density: 7.1 g/cm3
Formation energy (no corrections): -0.873 eV/atom

---

Compound: LaPrHgBr
Source: the Alexandria database
Functional: PBE-GGA
Structure: optimized geometry

Geometry as extended XYZ:
```
16
Lattice="7.7340 0.0000 0.0000 0.0000 7.7340 0.0000 0.0000 0.0000 7.7340" Properties=species:S:1:pos:R:3 pbc="T T T"
La 0.0000 0.0000 0.0000
La 0.0000 3.8670 3.8670
La 3.8670 0.0000 3.8670
La 3.8670 3.8670 0.0000
Pr 0.0000 0.0000 3.8670
Pr 0.0000 3.8670 0.0000
Pr 3.8670 0.0000 0.0000
Pr 3.8670 3.8670 3.8670
Hg 1.9335 1.9335 5.8005
Hg 1.9335 5.8005 1.9335
Hg 5.8005 1.9335 1.9335
Hg 5.8005 5.8005 5.8005
Br 1.9335 1.9335 1.9335
Br 1.9335 5.8005 5.8005
Br 5.8005 1.9335 5.8005
Br 5.8005 5.8005 1.9335
```

Space-group type: F-43m, No. 216
Density: 8.0 g/cm3
Formation energy (no corrections): -0.674 eV/atom

---

Compound: La6HgPt2Br3
Source: the Alexandria database
Functional: PBE-GGA
Structure: optimized geometry

Geometry as extended XYZ:
```
12
Lattice="9.9167 -2.1536 0.0000 9.9167 2.1536 0.0000 -2.7129 0.0000 8.8290" Properties=species:S:1:pos:R:3 pbc="T T T"
La -0.4322 0.0000 2.2806
La 5.1899 0.0000 3.8897
La 4.2491 0.0000 7.8178
La 12.8715 0.0000 1.0112
La 11.9307 0.0000 4.9392
La 17.5528 0.0000 6.5484
Hg 9.9167 0.0000 0.0000
Pt 2.4198 0.0000 2.9592
Pt 14.7008 0.0000 5.8698
Br 0.9614 0.0000 7.3645
Br 8.5603 0.0000 4.4145
Br 16.1591 0.0000 1.4645
```

Space-group type: C2/m, No. 12
Density: 7.3 g/cm3
Formation energy (no corrections): -1.163 eV/atom

---

Compound: RbLaHg2Br8
Source: the Alexandria database
Functional: PBE-GGA
Structure: optimized geometry

Geometry as extended XYZ:
```
12
Lattice="6.9625 0.0000 0.0000 -0.7974 8.1014 0.0000 -0.5475 -3.9524 9.3983" Properties=species:S:1:pos:R:3 pbc="T T T"
Rb 0.0000 0.0000 0.0000
La -0.2738 -1.9762 4.6991
Hg 2.3756 -1.0575 7.5372
Hg 3.2419 5.2065 1.8611
Br 0.4359 5.5641 2.2109
Br 0.5837 4.4236 6.3912
Br 1.5916 0.2827 5.4589
Br 2.7048 2.1652 0.5670
Br 2.9128 1.9838 8.8313
Br 4.0259 3.8664 3.9394
Br 5.0338 -0.2745 3.0070
Br 5.1816 -1.4150 7.1874
```

Space-group type: P-1, No. 2
Density: 4.0 g/cm3
Formation energy (no corrections): -1.162 eV/atom

---

Compound: RbLaHgBr6
Source: the Alexandria database
Functional: PBE-GGA
Structure: optimized geometry

Geometry as extended XYZ:
```
18
Lattice="7.5349 0.0000 0.0000 -3.7675 6.5254 0.0000 0.0000 0.0000 15.2220" Properties=species:S:1:pos:R:3 pbc="T T T"
Rb 0.0000 0.0000 0.0000
Rb 0.0000 0.0000 7.6110
La 0.0000 4.3503 3.8055
La 3.7675 2.1751 11.4165
Hg 0.0000 4.3503 11.4165
Hg 3.7675 2.1751 3.8055
Br -1.3584 2.4702 9.7159
Br -2.3074 4.1139 13.1170
Br 1.3584 2.4702 13.1170
Br -0.9490 6.4667 9.7159
Br 2.8185 0.0587 2.1050
Br 1.4601 2.4115 5.5060
Br 2.3074 4.1139 9.7159
Br 0.9490 6.4667 13.1170
Br 4.7164 0.0587 5.5060
Br 2.4090 4.0552 2.1050
Br 6.0748 2.4115 2.1050
Br 5.1259 4.0552 5.5060
```

Space-group type: P-31c, No. 163
Density: 4.0 g/cm3
Formation energy (no corrections): -1.410 eV/atom

---

Compound: La4HgRhBr2
Source: the Alexandria database
Functional: PBE-GGA
Structure: optimized geometry

Geometry as extended XYZ:
```
8
Lattice="7.7282 0.0000 0.0000 0.0000 4.2641 0.0000 -2.5064 0.0000 7.7554" Properties=species:S:1:pos:R:3 pbc="T T T"
La 0.9923 0.0000 2.1880
La -0.0280 2.1320 5.4834
La 5.2498 2.1320 2.2720
La 4.2295 0.0000 5.5674
Hg 2.6109 2.1320 3.8777
Rh -1.2532 0.0000 3.8777
Br 0.0000 2.1320 0.0000
Br 3.8641 0.0000 0.0000
```

Space-group type: P2/m, No. 10
Density: 6.6 g/cm3
Formation energy (no corrections): -0.984 eV/atom

---

Compound: La4HgRuBr2
Source: the Alexandria database
Functional: PBE-GGA
Structure: optimized geometry

Geometry as extended XYZ:
```
8
Lattice="7.7803 0.0000 0.0000 0.0000 4.1942 0.0000 -2.5854 0.0000 7.9216" Properties=species:S:1:pos:R:3 pbc="T T T"
La 0.9017 0.0000 2.3154
La -0.0685 2.0971 5.5602
La 5.2633 2.0971 2.3614
La 4.2931 0.0000 5.6062
Hg 2.5974 2.0971 3.9608
Ru -1.2927 0.0000 3.9608
Br 0.0000 2.0971 0.0000
Br 3.8901 0.0000 0.0000
```

Space-group type: P2/m, No. 10
Density: 6.5 g/cm3
Formation energy (no corrections): -0.904 eV/atom

---

Compound: LaHgSe2Br
Source: the Alexandria database
Functional: PBE-GGA
Structure: optimized geometry

Geometry as extended XYZ:
```
5
Lattice="5.3018 0.0000 0.0000 0.0000 5.3018 0.0000 0.0000 0.0000 5.3701" Properties=species:S:1:pos:R:3 pbc="T T T"
La 0.0000 0.0000 0.0000
Hg 2.6509 2.6509 2.6851
Se 0.0000 2.6509 2.6851
Se 2.6509 0.0000 2.6851
Br 2.6509 2.6509 0.0000
```

Space-group type: P4/mmm, No. 123
Density: 6.4 g/cm3
Formation energy (no corrections): -0.545 eV/atom
Relative energy among the computed polymorphs: 138 meV per atom

---

Compound: LaHgSe2Br
Source: the Alexandria database
Functional: PBE-GGA
Structure: optimized geometry

Geometry as extended XYZ:
```
5
Lattice="5.9101 0.0000 0.0000 0.0000 5.9101 0.0000 0.0000 0.0000 5.8580" Properties=species:S:1:pos:R:3 pbc="T T T"
La 0.0000 0.0000 0.0000
Hg 2.9551 2.9551 2.9290
Se 0.0000 2.9551 0.0000
Se 2.9551 0.0000 0.0000
Br 0.0000 0.0000 2.9290
```

Space-group type: P4/mmm, No. 123
Density: 4.7 g/cm3
Formation energy (no corrections): -0.684 eV/atom
Relative energy among the computed polymorphs: 0 meV per atom

---

Compound: La4HgSe2Br
Source: the Alexandria database
Functional: PBE-GGA
Structure: optimized geometry

Geometry as extended XYZ:
```
8
Lattice="7.5939 0.0000 0.0000 0.0000 4.3120 0.0000 -2.4411 0.0000 7.3150" Properties=species:S:1:pos:R:3 pbc="T T T"
La 1.2633 0.0000 1.6827
La 0.0780 2.1560 5.5996
La 5.0748 2.1560 1.7154
La 3.8896 0.0000 5.6323
Hg -1.2205 0.0000 3.6575
Se 0.0000 2.1560 0.0000
Se 3.7970 0.0000 0.0000
Br 2.5764 2.1560 3.6575
```

Space-group type: P2/m, No. 10
Density: 6.9 g/cm3
Formation energy (no corrections): -1.434 eV/atom

---

Compound: La4SiHgBr2
Source: the Alexandria database
Functional: PBE-GGA
Structure: optimized geometry

Geometry as extended XYZ:
```
8
Lattice="7.5361 0.0000 0.0000 0.0000 4.4075 0.0000 -2.6014 0.0000 7.4515" Properties=species:S:1:pos:R:3 pbc="T T T"
La 1.1396 0.0000 1.7121
La -0.1698 2.2038 5.6693
La 5.1045 2.2038 1.7822
La 3.7950 0.0000 5.7394
Si 0.0000 2.2038 0.0000
Hg -1.3007 0.0000 3.7257
Br 3.7680 0.0000 0.0000
Br 2.4673 2.2038 3.7257
```

Space-group type: P2/m, No. 10
Density: 6.3 g/cm3
Formation energy (no corrections): -0.989 eV/atom

---

Compound: LaTa2HgBr
Source: the Alexandria database
Functional: PBE-GGA
Structure: optimized geometry

Geometry as extended XYZ:
```
5
Lattice="5.1397 0.0000 0.0000 0.0000 5.1397 0.0000 0.0000 0.0000 6.1599" Properties=species:S:1:pos:R:3 pbc="T T T"
La 0.0000 0.0000 0.0000
Ta 0.0000 2.5699 3.0800
Ta 2.5699 0.0000 3.0800
Hg 0.0000 0.0000 3.0800
Br 2.5699 2.5699 0.0000
```

Space-group type: P4/mmm, No. 123
Density: 8.0 g/cm3
Formation energy (no corrections): 1.388 eV/atom

---

Compound: LaTcHgBr2
Source: the Alexandria database
Functional: PBE-GGA
Structure: optimized geometry

Geometry as extended XYZ:
```
5
Lattice="5.4829 0.0000 0.0000 0.0000 5.4829 0.0000 0.0000 0.0000 6.1127" Properties=species:S:1:pos:R:3 pbc="T T T"
La 0.0000 0.0000 0.0000
Tc 2.7414 2.7414 0.0000
Hg 0.0000 0.0000 3.0563
Br 0.0000 2.7414 3.0563
Br 2.7414 0.0000 3.0563
```

Space-group type: P4/mmm, No. 123
Density: 5.4 g/cm3
Formation energy (no corrections): 0.819 eV/atom

---

Compound: La2TcHgBr
Source: the Alexandria database
Functional: PBE-GGA
Structure: optimized geometry

Geometry as extended XYZ:
```
5
Lattice="5.7089 0.0000 0.0000 0.0000 5.7089 0.0000 0.0000 0.0000 4.5655" Properties=species:S:1:pos:R:3 pbc="T T T"
La 0.0000 2.8544 0.0000
La 2.8544 0.0000 0.0000
Tc 0.0000 0.0000 2.2828
Hg 2.8544 2.8544 2.2828
Br 0.0000 0.0000 0.0000
```

Space-group type: P4/mmm, No. 123
Density: 7.3 g/cm3
Formation energy (no corrections): 0.124 eV/atom

---

Compound: La4HgTe2Br
Source: the Alexandria database
Functional: PBE-GGA
Structure: optimized geometry

Geometry as extended XYZ:
```
8
Lattice="7.8120 0.0000 0.0000 0.0000 4.4597 0.0000 -2.5460 0.0000 7.5328" Properties=species:S:1:pos:R:3 pbc="T T T"
La 1.3002 0.0000 1.8450
La 0.0180 2.2298 5.6727
La 5.2481 2.2298 1.8601
La 3.9659 0.0000 5.6878
Hg 0.0000 2.2298 0.0000
Te -1.2730 0.0000 3.7664
Te 2.6330 2.2298 3.7664
Br 3.9060 0.0000 0.0000
```

Space-group type: P2/m, No. 10
Density: 6.9 g/cm3
Formation energy (no corrections): -1.237 eV/atom

---

Compound: LaZrHg2Br
Source: the Alexandria database
Functional: PBE-GGA
Structure: optimized geometry

Geometry as extended XYZ:
```
5
Lattice="5.7384 0.0000 0.0000 0.0000 5.7384 0.0000 0.0000 0.0000 5.0104" Properties=species:S:1:pos:R:3 pbc="T T T"
La 0.0000 0.0000 0.0000
Zr 2.8692 2.8692 0.0000
Hg 0.0000 2.8692 2.5052
Hg 2.8692 0.0000 2.5052
Br 2.8692 2.8692 2.5052
```

Space-group type: P4/mmm, No. 123
Density: 7.2 g/cm3
Formation energy (no corrections): 0.340 eV/atom

---

Compound: LiHgBr3
Source: the Alexandria database
Functional: PBE-GGA
Structure: optimized geometry

Geometry as extended XYZ:
```
10
Lattice="2.1040 -10.5272 0.0000 2.1040 10.5272 0.0000 0.0000 0.0000 6.8858" Properties=species:S:1:pos:R:3 pbc="T T T"
Li 2.1040 6.8919 3.4429
Li 2.1040 -6.8919 0.0000
Hg 2.1040 2.6604 3.7230
Hg 2.1040 -2.6604 0.2801
Br 2.1040 9.0695 1.5824
Br 2.1040 4.8650 5.2539
Br 2.1040 2.3073 1.1777
Br 2.1040 -2.3073 4.6206
Br 2.1040 -4.8650 1.8110
Br 2.1040 -9.0695 5.0253
```

Space-group type: Cmc2_1, No. 36
Density: 4.9 g/cm3
Formation energy (no corrections): -0.860 eV/atom
Relative energy among the computed polymorphs: 0 meV per atom

---

Compound: Li4HgBr
Source: the Alexandria database
Functional: PBE-GGA
Structure: optimized geometry

Geometry as extended XYZ:
```
6
Lattice="0.0000 4.0677 4.0677 4.0677 0.0000 4.0677 4.0677 4.0677 0.0000" Properties=species:S:1:pos:R:3 pbc="T T T"
Li 3.0621 3.0621 3.0621
Li 5.0733 5.0733 3.0621
Li 5.0733 3.0621 5.0733
Li 3.0621 5.0733 5.0733
Hg 6.1015 6.1015 6.1015
Br 0.0000 0.0000 0.0000
```

Space-group type: F-43m, No. 216
Density: 3.8 g/cm3
Formation energy (no corrections): -0.208 eV/atom

---

Compound: LiHg2Br5
Source: the Alexandria database
Functional: PBE-GGA
Structure: optimized geometry

Geometry as extended XYZ:
```
16
Lattice="2.7892 -7.0713 0.0000 2.7892 7.0713 0.0000 0.0000 0.0000 13.2690" Properties=species:S:1:pos:R:3 pbc="T T T"
Li 2.7892 3.7132 9.9517
Li 2.7892 -3.7132 3.3172
Hg 2.7892 5.3505 0.9925
Hg 2.7892 5.3505 5.6420
Hg 2.7892 -5.3505 7.6270
Hg 2.7892 -5.3505 12.2765
Br 2.7892 6.0491 8.2482
Br 2.7892 6.0491 11.6553
Br 2.7892 3.7799 3.3172
Br 2.7892 2.3480 7.6877
Br 2.7892 2.3480 12.2158
Br 2.7892 -2.3480 1.0532
Br 2.7892 -2.3480 5.5813
Br 2.7892 -3.7799 9.9517
Br 2.7892 -6.0491 1.6137
Br 2.7892 -6.0491 5.0208
```

Space-group type: Cmcm, No. 63
Density: 5.1 g/cm3
Formation energy (no corrections): -0.638 eV/atom
Relative energy among the computed polymorphs: 42 meV per atom